1.
Entry from the Alexandria database: a relaxed structure of KB3H3 (PBE-GGA).

Unit cell a=6.267 b=6.267 c=6.267 alpha=60.00 beta=60.00 gamma=60.00
Sites, in units of the cell vectors:
1 K 0.250 0.250 0.250
2 K 0.750 0.750 0.750
3 B 0.138 0.138 0.862
4 B 0.138 0.862 0.138
5 B 0.138 0.862 0.862
6 B 0.862 0.138 0.138
7 B 0.862 0.138 0.862
8 B 0.862 0.862 0.138
9 H 0.274 0.274 0.726
10 H 0.274 0.726 0.274
11 H 0.274 0.726 0.726
12 H 0.726 0.274 0.274
13 H 0.726 0.274 0.726
14 H 0.726 0.726 0.274

Results
Raw total energy, Ry/atom: -0.351


2.
Entry from the Alexandria database: a relaxed structure of KBMo2H (PBE-GGA).

Unit cell a=4.088 b=4.088 c=7.015 alpha=90.00 beta=90.00 gamma=90.00
Sites, in units of the cell vectors:
1 K 0.000 0.000 0.000
2 B 0.500 0.500 0.500
3 Mo 0.000 0.500 0.500
4 Mo 0.500 0.000 0.500
5 H 0.500 0.500 0.000

Results
Raw total energy, Ry/atom: -0.382